The following is a PBE-GGA calculation of KY2Si2 after structural relaxation, from Alexandria via LeMat-Bulk.

Summary:
DOS(E_F): 2.172 states/eV/f.u.
Formation energy without anion corrections: -0.3004 eV/atom
Size of the total moment: 0.00 μB/f.u.

Geometry as extended XYZ:
```
10
Lattice="-7.704 1.868 3.712 -3.860 -0.322 -7.849 -0.574 -3.186 0.413" Properties=species:S:1:pos:R:3 pbc="T T T"
Y -2.448 0.134 -2.367
Y -6.153 0.403 -5.436
Y -5.410 1.142 1.298
Y -9.116 1.412 -1.771
Si -4.090 -1.504 -4.389
Si -3.516 -1.014 0.189
Si -8.621 -0.627 -3.914
Si -8.047 -0.137 0.664
K -5.782 0.773 -2.069
K 0.000 0.000 0.000
```